Record 1
Here is a relaxed structure of EuZrZnIr from Alexandria via LeMat-Bulk. Energies are from PBE.

Cell lengths 4.8725, 4.8725, 4.8725 Å; angles 60.00, 60.00, 60.00 degrees
Last column: nearest neighbours and their distance in Å.
Atoms (fractional coordinates):
1 Eu 0.7500 0.7500 0.7500  4 Zn 2.98, 4 Ir 2.98
2 Zn 0.0000 0.0000 0.0000  4 Zr 2.98, 4 Eu 2.98
3 Ir 0.5000 0.5000 0.5000  4 Zr 2.98, 4 Eu 2.98
4 Zr 0.2500 0.2500 0.2500  4 Ir 2.98, 4 Zn 2.98

Calculated values
The space group is F-43m (216).


Record 2
Here is a relaxed structure of K5Eu from Alexandria via LeMat-Bulk. Energies are from PBE.

Cell lengths 6.2648, 6.4309, 10.5194 Å; angles 107.80, 90.00, 90.00 degrees
Last column: nearest neighbours and their distance in Å.
Atoms (fractional coordinates):
1 Eu 0.0000 0.0000 0.0000  12 K 4.49-4.60
2 K 0.5000 0.8369 0.6738  10 K 4.49-4.74, 2 Eu 4.53
3 K 0.0000 0.6642 0.3283  10 K 4.49-4.71, 2 Eu 4.60
4 K 0.5000 0.5000 0.0000  4 Eu 4.49, 8 K 4.54-4.58
5 K 0.0000 0.3358 0.6717  10 K 4.49-4.71, 2 Eu 4.60
6 K 0.5000 0.1631 0.3262  10 K 4.49-4.74, 2 Eu 4.53

Calculated values
The space group is Cmmm (65).


Calculated formation energy values, unit eV per atom, following the record order: -0.29, 0.12.
Total DFT energy (no corrections) values, unit eV per atom, following the record order: -7.52, -2.50.